Computed, not measured: a geometry-optimized Sc2Ga5Ru structure at the PBE level of DFT.

a b c (Å): 6.085 6.085 7.213
angles (deg): 90.00 90.00 90.00
Space group I4mm (No. 107)
Unique sites:
Sc 0.000 0.500 0.000 (multiplicity 4)
Ga 0.000 0.000 0.053 (multiplicity 2)
Ga 0.219 0.219 0.750 (multiplicity 8)
Ru 0.000 0.000 0.426 (multiplicity 2)

Summary:
- Crystal system: tetragonal
- DOS(E_F): 3.9 states/eV/f.u.
- Calculated total energy: -5.06 eV/atom
- Formation energy: -430 meV/atom

Computed, not measured: a geometry-optimized Rb2NbBrCl6 structure at the PBE level of DFT.

a b c (Å): 11.470 11.470 11.470
angles (deg): 90.00 90.00 90.00
Space group Fm-3m (No. 225)
Unique sites:
Rb 0.250 0.250 0.250 (multiplicity 8)
Nb 0.000 0.000 0.000 (multiplicity 4)
Br 0.000 0.000 0.500 (multiplicity 4)
Cl 0.000 0.000 0.209 (multiplicity 24)

Summary:
- Crystal system: cubic
- DOS(E_F): 0.0 states/eV/f.u.
- Uncorrected formation energy: -1353 meV per atom
- Calculated total energy: -3.83 eV/atom
- E above lowest polymorph: 12.1 kJ/mol of atoms

Computed, not measured: a geometry-optimized Ti2CuNi structure at the PBE level of DFT.

a b c (Å): 6.831 6.831 5.043
angles (deg): 90.00 90.00 90.00
Space group I-42d (No. 122)
Unique sites:
Ti 0.231 0.750 0.125 (multiplicity 8)
Cu 0.000 0.000 0.500 (multiplicity 4)
Ni 0.000 0.000 0.000 (multiplicity 4)

Summary:
- Crystal system: tetragonal
- DOS(E_F): 5.9 states/eV/f.u.
- Calculated total energy: -6.29 eV/atom
- Formation energy: 131 meV/atom

Computed, not measured: a geometry-optimized CsRb3Tc structure at the PBE level of DFT.

a b c (Å): 8.104 8.104 8.104
angles (deg): 90.00 90.00 90.00
Space group Pm-3m (No. 221)
Unique sites:
Cs 0.000 0.000 0.000 (multiplicity 1)
Rb 0.000 0.000 0.500 (multiplicity 3)
Tc 0.500 0.500 0.500 (multiplicity 1)

Summary:
- Crystal system: cubic
- DOS(E_F): 15.5 states/eV/f.u.
- Calculated total energy: -1.32 eV/atom
- E above lowest polymorph: 41.4 kJ/mol of atoms
- Formation energy: 1504 meV/atom

Computed, not measured: a geometry-optimized PuUBr structure at the PBE level of DFT.

a b c (Å): 13.236 3.580 6.849
angles (deg): 90.00 118.75 90.00
Space group C2/m (No. 12)
Unique sites:
Pu 0.224 0.000 0.276 (multiplicity 4)
U 0.171 0.000 0.788 (multiplicity 4)
Br 0.039 0.500 0.289 (multiplicity 4)

Summary:
- Crystal system: monoclinic
- DOS(E_F): 4.5 states/eV/f.u.
- Uncorrected formation energy: -203 meV per atom
- Calculated total energy: -9.30 eV/atom

Computed, not measured: a geometry-optimized K2Tl13 structure at the PBE level of DFT.

a b c (Å): 9.1082 9.1082 24.5616
angles (deg): 90.00 90.00 120.00
Space group R-3m (No. 166, hexagonal axes)
Unique sites:
K 0.0000 0.0000 0.2421 (multiplicity 6)
Tl 0.0000 0.0000 0.0000 (multiplicity 3)
Tl 0.0815 0.5408 0.2991 (multiplicity 18)
Tl 0.0938 0.5469 0.5581 (multiplicity 18)

Summary:
- Crystal system: trigonal
- DOS(E_F): 7.1 states/eV/f.u.
- Calculated total energy: -2.10 eV/atom
- Formation energy: 93 meV/atom